Density functional theory data (PBE) for an optimized crystal structure of AuC3N.

Cell: 3.5716 3.5716 3.5716 Å, 90.00 90.00 90.00°
Sites, in units of the cell vectors:
N (0.0000, 0.0000, 0.0000)
C (0.5000, 0.0000, 0.0000)
Au (0.5000, 0.5000, 0.5000)
C (0.0000, 0.5000, 0.0000)
C (0.0000, 0.0000, 0.5000)

polymorph energy (0 for the lowest one)	0.00	eV per formula unit
VASP energy	-0.33496	Ry per atom

Density functional theory data (PBE) for an optimized crystal structure of Sr2LaCl.

Cell: 3.8797 4.0118 10.6081 Å, 90.23 90.00 90.00°
Sites, in units of the cell vectors:
Sr (0.0000, 0.2536, 0.0273)
Cl (0.5000, 0.2500, 0.2500)
La (0.5000, 0.7500, 0.7500)
Sr (0.0000, 0.2464, 0.4727)

polymorph energy (0 for the lowest one)	0.22	eV per formula unit
VASP energy	-0.24089	Ry per atom

Density functional theory data (PBE) for an optimized crystal structure of Ho4Tm3S8.

Cell: 7.7180 7.7148 7.7148 Å, 89.99 120.02 120.02°
Sites, in units of the cell vectors:
S (0.0000, 0.2519, 0.7481)
Ho (0.0000, 0.0000, 0.5000)
Tm (0.5000, 0.5000, 0.0000)
S (0.5041, 0.2533, 0.2533)
Ho (0.5000, 0.0000, 0.0000)
S (0.0000, 0.7481, 0.2519)
S (0.4959, 0.7467, 0.7467)
Tm (0.5000, 0.0000, 0.5000)
S (0.5000, 0.2512, 0.7488)
S (0.5000, 0.7488, 0.2512)
S (0.0026, 0.2532, 0.2532)
S (0.9974, 0.7468, 0.7468)
Ho (0.0000, 0.0000, 0.0000)
Tm (0.5000, 0.5000, 0.5000)
Ho (0.0000, 0.5000, 0.0000)

VASP energy	-0.46621	Ry per atom